[1]
The following is a DFT calculation (meta-GGA SCAN) of MnZnFe2 at its PBEsol-relaxed geometry.

## Properties
The density of states at the Fermi level comes out at 2.28 states/eV/f.u. For the spin magnetization, the calculation gives 2.35 Bohr magnetons per cell. For the formation enthalpy at 0 K, the calculation gives 0.03 eV/atom.

a b c (Å): 2.4982 2.4982 7.0657
angles (deg): 90.00 90.00 90.00
Last column: nearest neighbours and their distance in Å.
Atoms (fractional coordinates):
Mn  0.0000  0.0000  0.0000  8 Fe 2.42, 4 Mn 2.50
Zn  0.0000  0.0000  0.5000  4 Zn 2.50, 8 Fe 2.58
Fe  0.5000  0.5000  0.2339  4 Mn 2.42, 4 Fe 2.50, 4 Zn 2.58
Fe  0.5000  0.5000  0.7661  4 Mn 2.42, 4 Fe 2.50, 4 Zn 2.58



[2]
The following is a DFT calculation (meta-GGA SCAN) of Nb2AlInPb at its PBEsol-relaxed geometry.

## Properties
The density of states at the Fermi level comes out at 5.88 states/eV/f.u. For the spin magnetization, the calculation gives 0.00 Bohr magnetons per cell. For the formation enthalpy at 0 K, the calculation gives 1.06 eV/atom.

a b c (Å): 4.8397 4.8397 5.0497
angles (deg): 90.00 90.00 90.00
Last column: nearest neighbours and their distance in Å.
Atoms (fractional coordinates):
Nb  0.0000  0.5000  0.0000  2 Al 2.42
Nb  0.5000  0.0000  0.0000  2 Al 2.42
Al  0.0000  0.0000  0.0000  4 Nb 2.42, 2 Pb 2.52
In  0.5000  0.5000  0.5000  4 Pb 3.42, 8 Nb 3.50
Pb  0.0000  0.0000  0.5000  2 Al 2.52



Question: Which of these has the lowest formation enthalpy at 0 K?
Answer: MnZnFe2



Question: The lowest density of states at the Fermi level belongs to which entry?
Answer: MnZnFe2



Question: spin magnetization of number 2 (Nb2AlInPb)?
Answer: 0.00 Bohr magnetons per cell